First-principles (SCAN) data for a PBEsol-optimized structure of SrBN2F, as listed in the Alexandria database.

Unit cell a=4.483 b=4.975 c=4.975 alpha=90.00 beta=90.00 gamma=90.00
Fractional coordinates of all 5 atoms:
Sr (0.000, 0.000, 0.000)
B (0.500, 0.500, 0.500)
N (0.000, 0.000, 0.500)
N (0.000, 0.500, 0.000)
F (0.500, 0.000, 0.000)

The total energy is -9.0373 eV/atom. The calculated density is 2.18 Mg/m³. Its crystal system is tetragonal. The space group is P4/mmm, No. 123. Its volume is 111 Å³/cell. The energy relative to the lowest polymorph listed for this composition comes out at 208.0 kJ/mol of atoms.

=====

First-principles (SCAN) data for a PBEsol-optimized structure of RbReS2Cl, as listed in the Alexandria database.

Unit cell a=4.562 b=4.562 c=5.296 alpha=90.00 beta=90.00 gamma=90.00
Fractional coordinates of all 5 atoms:
Re (0.000, 0.000, 0.000)
S (0.000, 0.500, 0.000)
S (0.500, 0.000, 0.000)
Rb (0.500, 0.500, 0.500)
Cl (0.000, 0.000, 0.500)

The total energy is -24.4077 eV/atom. The calculated density is 5.59 Mg/m³. Its crystal system is tetragonal. The space group is P4/mmm, No. 123. Its volume is 110 Å³/cell.

=====

First-principles (SCAN) data for a PBEsol-optimized structure of FeCoPt3, as listed in the Alexandria database.

Unit cell a=4.480 b=4.480 c=4.480 alpha=90.00 beta=90.00 gamma=90.00
Fractional coordinates of all 5 atoms:
Co (0.500, 0.500, 0.500)
Fe (0.000, 0.000, 0.000)
Pt (0.000, 0.500, 0.000)
Pt (0.000, 0.000, 0.500)
Pt (0.500, 0.000, 0.000)

The total energy is -48.1380 eV/atom. The calculated density is 12.92 Mg/m³. Its crystal system is cubic. The space group is Pm-3m, No. 221. As for the calculated formation energy: 1.06 eV per atom. Its volume is 90 Å³/cell.

=====

Copy entry 3 word for word.
First-principles (SCAN) data for a PBEsol-optimized structure of FeCoPt3, as listed in the Alexandria database.

Unit cell a=4.480 b=4.480 c=4.480 alpha=90.00 beta=90.00 gamma=90.00
Fractional coordinates of all 5 atoms:
Co (0.500, 0.500, 0.500)
Fe (0.000, 0.000, 0.000)
Pt (0.000, 0.500, 0.000)
Pt (0.000, 0.000, 0.500)
Pt (0.500, 0.000, 0.000)

The total energy is -48.1380 eV/atom. The calculated density is 12.92 Mg/m³. Its crystal system is cubic. The space group is Pm-3m, No. 221. As for the calculated formation energy: 1.06 eV per atom. Its volume is 90 Å³/cell.

=====

What is the formula in the second record?
RbReS2Cl

=====

Which value of total energy does entry 2 give?
-24.4077 eV/atom

=====

What is the total energy in the first record?
-9.0373 eV/atom